The following is a PBE calculation of an optimized crystal structure of CsGeSb2I, from Alexandria.

a b c (Å): 6.4540 6.4540 6.7526
angles (deg): 90.00 90.00 90.00
Last column: nearest neighbours and their distance in Å.
Element x y z (fractional)
I1 0.0000 0.0000 0.5000  2 Cs 3.38
Sb1 0.0000 0.5000 0.0000  2 Cs 3.23
Sb2 0.5000 0.0000 0.0000  2 Cs 3.23
Cs1 0.0000 0.0000 0.0000  4 Sb 3.23, 2 I 3.38
Ge1 0.5000 0.5000 0.5000  4 I 4.56, 8 Sb 4.67

The total magnetization is 0.299 μB/atom. The raw formation energy comes out at 1.31 eV per atom. The value obtained for the density of states at the Fermi level is 5.318 states/eV per cell. Its calculated volume is 56.254 A^3/atom. Its total DFT energy (no corrections) is -1.75 eV per atom.

***

The following is a PBE calculation of an optimized crystal structure of Cs2GeSbI6, from Alexandria.

a b c (Å): 8.6125 8.6125 8.6218
angles (deg): 60.04 60.04 90.00
Last column: nearest neighbours and their distance in Å.
Element x y z (fractional)
I1 0.7463 0.7463 0.5073  1 Ge 3.01, 1 Sb 3.10
I2 0.2540 0.2540 0.0000  1 Ge 3.00, 1 Sb 3.09
I3 0.2537 0.2537 0.4927  1 Ge 3.01, 1 Sb 3.10
I4 0.7460 0.7460 0.0000  1 Ge 3.00, 1 Sb 3.09
I5 0.2540 0.7460 0.0000  1 Ge 3.00, 1 Sb 3.09
I6 0.7460 0.2540 0.0000  1 Ge 3.00, 1 Sb 3.09
Cs1 0.7500 0.2500 0.5000  12 I 4.31
Cs2 0.2500 0.7500 0.5000  12 I 4.31
Sb1 0.0000 0.0000 0.0000  6 I 3.09-3.10
Ge1 0.5000 0.5000 0.0000  6 I 3.00-3.01

The total magnetization is 0.000 μB/atom. The raw formation energy comes out at -0.77 eV per atom. The value obtained for the density of states at the Fermi level is 4.654 states/eV per cell. Its calculated volume is 45.270 A^3/atom. Its total DFT energy (no corrections) is -2.74 eV per atom.

***

The following is a PBE calculation of an optimized crystal structure of CsScGeI6, from Alexandria.

a b c (Å): 7.6940 7.6940 8.7012
angles (deg): 90.01 89.99 60.00
Last column: nearest neighbours and their distance in Å.
Element x y z (fractional)
I1 0.3762 0.9891 0.6941  1 Sc 2.91, 1 Ge 3.02
I2 0.3762 0.6347 0.3059  1 Sc 2.91, 1 Ge 3.02
I3 0.9890 0.6347 0.6941  1 Sc 2.91, 1 Ge 3.02
I4 0.9891 0.3762 0.3059  1 Sc 2.91, 1 Ge 3.02
I5 0.6347 0.3763 0.6941  1 Sc 2.91, 1 Ge 3.02
I6 0.6347 0.9890 0.3059  1 Sc 2.91, 1 Ge 3.02
Sc1 0.6666 0.6666 0.5000  6 I 2.91
Ge1 0.3333 0.3333 0.5000  6 I 3.02
Cs1 0.0000 0.0000 0.0000  6 I 3.90

The total magnetization is 0.000 μB/atom. The raw formation energy comes out at -1.01 eV per atom. The value obtained for the density of states at the Fermi level is 0.000 states/eV per cell. Its calculated volume is 49.563 A^3/atom. Its total DFT energy (no corrections) is -3.35 eV per atom.

***

The following is a PBE calculation of an optimized crystal structure of CsSmGeI6, from Alexandria.

a b c (Å): 7.9559 7.9560 8.6284
angles (deg): 89.99 90.00 60.00
Last column: nearest neighbours and their distance in Å.
Element x y z (fractional)
I1 0.3779 0.6284 0.2944  1 Ge 3.04, 1 Sm 3.10
I2 0.9936 0.3778 0.2944  1 Ge 3.04, 1 Sm 3.10
I3 0.3778 0.9936 0.7056  1 Ge 3.04, 1 Sm 3.10
I4 0.6285 0.9937 0.2944  1 Ge 3.04, 1 Sm 3.10
I5 0.9936 0.6285 0.7055  1 Ge 3.04, 1 Sm 3.10
I6 0.6284 0.3779 0.7056  1 Ge 3.04, 1 Sm 3.10
Ge1 0.6667 0.6667 0.5000  6 I 3.04
Sm1 0.3332 0.3334 0.5000  6 I 3.10
Cs1 0.9999 0.0000 0.0000  6 I 3.92

The total magnetization is 0.000 μB/atom. The raw formation energy comes out at -1.09 eV per atom. The value obtained for the density of states at the Fermi level is 0.000 states/eV per cell. Its calculated volume is 52.555 A^3/atom. Its total DFT energy (no corrections) is -3.25 eV per atom.

***

The following is a PBE calculation of an optimized crystal structure of Cs4SnGe3I12, from Alexandria.

a b c (Å): 10.5036 10.5036 10.5036
angles (deg): 109.47 109.47 109.47
Last column: nearest neighbours and their distance in Å.
Element x y z (fractional)
Sn1 0.0000 0.0000 0.0000  6 I 3.11
Cs1 0.0000 0.0000 0.5000  12 I 4.29
Cs2 0.5000 0.5000 0.5000  12 I 4.29
Cs3 0.0000 0.5000 0.0000  12 I 4.29
Cs4 0.5000 0.0000 0.0000  12 I 4.29
I1 0.0000 0.2562 0.2562  1 Ge 2.96, 1 Sn 3.11
I2 0.2562 0.2562 0.0000  1 Ge 2.96, 1 Sn 3.11
I3 0.2500 0.5000 0.7500  2 Ge 3.03
I4 0.0000 0.7438 0.7438  1 Ge 2.96, 1 Sn 3.11
I5 0.5000 0.7500 0.2500  2 Ge 3.03
I6 0.7438 0.0000 0.7438  1 Ge 2.96, 1 Sn 3.11
I7 0.2500 0.7500 0.5000  2 Ge 3.03
I8 0.7500 0.5000 0.2500  2 Ge 3.03
I9 0.5000 0.2500 0.7500  2 Ge 3.03
I10 0.7438 0.7438 0.0000  1 Ge 2.96, 1 Sn 3.11
I11 0.7500 0.2500 0.5000  2 Ge 3.03
I12 0.2562 0.0000 0.2562  1 Ge 2.96, 1 Sn 3.11
Ge1 0.5000 0.5000 0.0000  6 I 2.96-3.03
Ge2 0.0000 0.5000 0.5000  6 I 2.96-3.03
Ge3 0.5000 0.0000 0.5000  6 I 2.96-3.03

The total magnetization is 0.000 μB/atom. The raw formation energy comes out at -0.85 eV per atom. Its calculated volume is 44.603 A^3/atom. Its total DFT energy (no corrections) is -2.84 eV per atom.

***

The following is a PBE calculation of an optimized crystal structure of Cs4Sn3GeI12, from Alexandria.

a b c (Å): 10.7488 10.7488 10.7488
angles (deg): 109.47 109.47 109.47
Last column: nearest neighbours and their distance in Å.
Element x y z (fractional)
Sn1 0.5000 0.5000 0.0000  6 I 3.10-3.18
Sn2 0.0000 0.5000 0.5000  6 I 3.10-3.18
Sn3 0.5000 0.0000 0.5000  6 I 3.10-3.18
I1 0.0000 0.7561 0.7561  1 Ge 3.03, 1 Sn 3.18
I2 0.5000 0.7500 0.2500  2 Sn 3.10
I3 0.7500 0.5000 0.2500  2 Sn 3.10
I4 0.7500 0.2500 0.5000  2 Sn 3.10
I5 0.0000 0.2439 0.2439  1 Ge 3.03, 1 Sn 3.18
I6 0.7561 0.7561 0.0000  1 Ge 3.03, 1 Sn 3.18
I7 0.2500 0.7500 0.5000  2 Sn 3.10
I8 0.2439 0.0000 0.2439  1 Ge 3.03, 1 Sn 3.18
I9 0.2439 0.2439 0.0000  1 Ge 3.03, 1 Sn 3.18
I10 0.2500 0.5000 0.7500  2 Sn 3.10
I11 0.5000 0.2500 0.7500  2 Sn 3.10
I12 0.7561 0.0000 0.7561  1 Ge 3.03, 1 Sn 3.18
Cs1 0.0000 0.5000 0.0000  12 I 4.39
Cs2 0.5000 0.0000 0.0000  12 I 4.39
Cs3 0.5000 0.5000 0.5000  12 I 4.39
Cs4 0.0000 0.0000 0.5000  12 I 4.39
Ge1 0.0000 0.0000 0.0000  6 I 3.03

The total magnetization is 0.000 μB/atom. The raw formation energy comes out at -0.91 eV per atom. Its calculated volume is 47.800 A^3/atom. Its total DFT energy (no corrections) is -2.84 eV per atom.

***

The following is a PBE calculation of an optimized crystal structure of Cs3Sn2GeI9, from Alexandria.

a b c (Å): 8.7335 8.7335 10.6986
angles (deg): 90.00 90.00 120.00
Last column: nearest neighbours and their distance in Å.
Element x y z (fractional)
I1 0.6759 0.8380 0.3388  1 Ge 3.00, 1 Sn 3.14
I2 0.5000 0.5000 0.0000  2 Sn 3.13
I3 0.8380 0.6759 0.6612  1 Ge 3.00, 1 Sn 3.14
I4 0.0000 0.5000 0.0000  2 Sn 3.13
I5 0.1620 0.8380 0.3388  1 Ge 3.00, 1 Sn 3.14
I6 0.1620 0.3241 0.3388  1 Ge 3.00, 1 Sn 3.14
I7 0.5000 0.0000 0.0000  2 Sn 3.13
I8 0.3241 0.1620 0.6612  1 Ge 3.00, 1 Sn 3.14
I9 0.8380 0.1620 0.6612  1 Ge 3.00, 1 Sn 3.14
Sn1 0.3333 0.6667 0.1735  6 I 3.13-3.14
Sn2 0.6667 0.3333 0.8265  6 I 3.13-3.14
Cs1 0.0000 0.0000 0.0000  12 I 4.37-4.38
Cs2 0.6667 0.3333 0.3356  12 I 4.34-4.39
Cs3 0.3333 0.6667 0.6644  12 I 4.34-4.39
Ge1 0.0000 0.0000 0.5000  6 I 3.00

The total magnetization is 0.000 μB/atom. The raw formation energy comes out at -0.90 eV per atom. Its calculated volume is 47.114 A^3/atom. Its total DFT energy (no corrections) is -2.84 eV per atom.

***

The following is a PBE calculation of an optimized crystal structure of Cs2SnGeI6, from Alexandria.

a b c (Å): 8.6715 8.6715 8.6696
angles (deg): 59.99 59.99 90.00
Last column: nearest neighbours and their distance in Å.
Element x y z (fractional)
Cs1 0.7500 0.2500 0.5000  12 I 4.34
Cs2 0.2500 0.7500 0.5000  12 I 4.34
I1 0.7443 0.2557 0.0000  1 Ge 3.00, 1 Sn 3.14
I2 0.7442 0.7442 0.5116  1 Ge 2.99, 1 Sn 3.14
I3 0.7443 0.7443 0.0000  1 Ge 3.00, 1 Sn 3.14
I4 0.2557 0.2557 0.0000  1 Ge 3.00, 1 Sn 3.14
I5 0.2557 0.7443 0.0000  1 Ge 3.00, 1 Sn 3.14
I6 0.2558 0.2558 0.4884  1 Ge 2.99, 1 Sn 3.14
Ge1 0.5000 0.5000 0.0000  6 I 2.99-3.00
Sn1 0.0000 0.0000 0.0000  6 I 3.14

The total magnetization is 0.000 μB/atom. The raw formation energy comes out at -0.88 eV per atom. The value obtained for the density of states at the Fermi level is 0.000 states/eV per cell. Its calculated volume is 46.087 A^3/atom. Its total DFT energy (no corrections) is -2.84 eV per atom.

***

The following is a PBE calculation of an optimized crystal structure of Cs2SnGeI6, from Alexandria.

a b c (Å): 6.1527 6.1527 12.2591
angles (deg): 90.00 90.00 90.00
Last column: nearest neighbours and their distance in Å.
Element x y z (fractional)
Cs1 0.0000 0.0000 0.2583  12 I 4.27-4.41
Cs2 0.0000 0.0000 0.7417  12 I 4.27-4.41
I1 0.0000 0.5000 0.5000  2 Ge 3.08
I2 0.5000 0.5000 0.2573  1 Ge 2.98, 1 Sn 3.15
I3 0.0000 0.5000 0.0000  2 Sn 3.08
I4 0.5000 0.0000 0.0000  2 Sn 3.08
I5 0.5000 0.0000 0.5000  2 Ge 3.08
I6 0.5000 0.5000 0.7427  1 Ge 2.98, 1 Sn 3.15
Sn1 0.5000 0.5000 0.0000  6 I 3.08-3.15
Ge1 0.5000 0.5000 0.5000  6 I 2.98-3.08

The total magnetization is 0.000 μB/atom. The raw formation energy comes out at -0.87 eV per atom. The value obtained for the density of states at the Fermi level is 0.142 states/eV per cell. Its calculated volume is 46.407 A^3/atom. Its total DFT energy (no corrections) is -2.83 eV per atom.

***

The following is a PBE calculation of an optimized crystal structure of CsTbGe2I8, from Alexandria.

a b c (Å): 7.8360 7.2421 11.0512
angles (deg): 91.53 85.79 83.55
Last column: nearest neighbours and their distance in Å.
Element x y z (fractional)
I1 0.1680 0.7635 0.1881  1 Tb 3.01, 1 Ge 3.18
I2 0.8412 0.2627 0.2110  1 Ge 3.00, 1 Tb 3.07
I3 0.8320 0.2365 0.8119  1 Tb 3.01, 1 Ge 3.18
I4 0.3967 0.2496 0.6032  1 Ge 2.67
I5 0.3126 0.2285 0.9924  1 Ge 2.80, 1 Tb 3.10
I6 0.6874 0.7715 0.0076  1 Ge 2.80, 1 Tb 3.10
I7 0.6033 0.7504 0.3968  1 Ge 2.67
I8 0.1588 0.7373 0.7890  1 Ge 3.00, 1 Tb 3.07
Ge1 0.5495 0.5647 0.1940  2 I 2.67-2.80
Ge2 0.4505 0.4353 0.8060  2 I 2.67-2.80
Cs1 0.0000 0.0000 0.5000  6 I 3.88-3.99
Tb1 0.0000 0.0000 0.0000  6 I 3.01-3.10

The total magnetization is 0.000 μB/atom. The raw formation energy comes out at -0.83 eV per atom. The value obtained for the density of states at the Fermi level is 0.000 states/eV per cell. Its calculated volume is 51.759 A^3/atom. Its total DFT energy (no corrections) is -3.09 eV per atom.